[1]
Entry from the Alexandria database: a relaxed Dy2TlGa crystal (PBE-GGA).

Structure (CIF):
```
data_Dy2TlGa
_chemical_formula_sum 'Dy8 Tl4 Ga4'
_space_group_name_H-M_alt 'F m -3 m'
_space_group_IT_number 225
_space_group_name_Hall '-F 4 2 3'
_cell_length_a 7.3865
_cell_length_b 7.3865
_cell_length_c 7.3865
_cell_angle_alpha 90.00
_cell_angle_beta 90.00
_cell_angle_gamma 90.00
loop_
_atom_site_label
_atom_site_type_symbol
_atom_site_fract_x
_atom_site_fract_y
_atom_site_fract_z
Dy1 Dy 0.2500 0.2500 0.2500
Tl1 Tl 0.0000 0.0000 0.0000
Ga1 Ga 0.0000 0.0000 0.5000
```

## Properties
DOS at the Fermi energy = 2.03 states/eV/f.u.
spin magnetization = 0.00 μB/atom
mass density = 9.9 g/cm3
ΔE_f = -429 meV/atom

[2]
Entry from the Alexandria database: a relaxed AsPRu2 crystal (PBE-GGA).

Structure (CIF):
```
data_AsPRu2
_chemical_formula_sum 'As2 P2 Ru4'
_space_group_name_H-M_alt 'C 1 m 1'
_space_group_IT_number 8
_cell_length_a 7.9399
_cell_length_b 3.1751
_cell_length_c 4.9776
_cell_angle_alpha 90.00
_cell_angle_beta 104.06
_cell_angle_gamma 90.00
loop_
_space_group_symop_operation_xyz
'x,y,z'
'x,-y,z'
'x+1/2,y+1/2,z'
'x+1/2,-y+1/2,z'
loop_
_atom_site_label
_atom_site_type_symbol
_atom_site_fract_x
_atom_site_fract_y
_atom_site_fract_z
As1 As 0.0000 0.0000 0.0000
P1 P 0.2341 0.0000 0.5483
Ru1 Ru 0.0312 0.5000 0.6126
Ru2 Ru 0.2436 0.5000 0.2061
```

## Properties
DOS at the Fermi energy = 2.32 states/eV/f.u.
spin magnetization = 0.00 μB/atom
mass density = 8.4 g/cm3
ΔE_f = -290 meV/atom

[3]
Entry from the Alexandria database: a relaxed BeSnSe3 crystal (PBE-GGA).

Structure (CIF):
```
data_BeSnSe3
_chemical_formula_sum 'Be1 Sn1 Se3'
_space_group_name_H-M_alt 'P m -3 m'
_space_group_IT_number 221
_space_group_name_Hall '-P 4 2 3'
_cell_length_a 4.7126
_cell_length_b 4.7126
_cell_length_c 4.7126
_cell_angle_alpha 90.00
_cell_angle_beta 90.00
_cell_angle_gamma 90.00
loop_
_atom_site_label
_atom_site_type_symbol
_atom_site_fract_x
_atom_site_fract_y
_atom_site_fract_z
Be1 Be 0.0000 0.0000 0.0000
Sn1 Sn 0.5000 0.5000 0.5000
Se1 Se 0.0000 0.0000 0.5000
```

## Properties
DOS at the Fermi energy = 2.84 states/eV/f.u.
spin magnetization = 0.00 μB/atom
calculated total energy = -18.17 eV/cell
mass density = 5.8 g/cm3

[4]
Entry from the Alexandria database: a relaxed CsHgBi3 crystal (PBE-GGA).

Structure (CIF):
```
data_CsHgBi3
_chemical_formula_sum 'Cs1 Hg1 Bi3'
_space_group_name_H-M_alt 'P m -3 m'
_space_group_IT_number 221
_space_group_name_Hall '-P 4 2 3'
_cell_length_a 5.9173
_cell_length_b 5.9173
_cell_length_c 5.9173
_cell_angle_alpha 90.00
_cell_angle_beta 90.00
_cell_angle_gamma 90.00
loop_
_atom_site_label
_atom_site_type_symbol
_atom_site_fract_x
_atom_site_fract_y
_atom_site_fract_z
Cs1 Cs 0.0000 0.0000 0.0000
Hg1 Hg 0.5000 0.5000 0.5000
Bi1 Bi 0.0000 0.5000 0.5000
```

## Properties
DOS at the Fermi energy = 4.50 states/eV/f.u.
spin magnetization = 0.00 μB/atom
mass density = 7.7 g/cm3
ΔE_f = 218 meV/atom

[5]
Entry from the Alexandria database: a relaxed TaNbSe4 crystal (PBE-GGA).

Structure (CIF):
```
data_TaNbSe4
_chemical_formula_sum 'Ta4 Nb4 Se16'
_space_group_name_H-M_alt 'C 1 2/c 1'
_space_group_IT_number 15
_cell_length_a 6.9725
_cell_length_b 15.4776
_cell_length_c 6.2675
_cell_angle_alpha 90.00
_cell_angle_beta 123.49
_cell_angle_gamma 90.00
loop_
_space_group_symop_operation_xyz
'x,y,z'
'-x,-y,-z'
'-x,y,-z+1/2'
'x,-y,z+1/2'
'x+1/2,y+1/2,z'
'-x+1/2,-y+1/2,-z'
'-x+1/2,y+1/2,-z+1/2'
'x+1/2,-y+1/2,z+1/2'
loop_
_atom_site_label
_atom_site_type_symbol
_atom_site_fract_x
_atom_site_fract_y
_atom_site_fract_z
Ta1 Ta 0.0000 0.0619 0.2500
Nb1 Nb 0.0000 0.4479 0.7500
Se1 Se 0.2417 0.0742 0.7489
Se2 Se 0.2436 0.3231 0.7406
```

## Properties
DOS at the Fermi energy = 4.32 states/eV/f.u.
spin magnetization = 0.00 μB/atom
calculated total energy = -158.01 eV/cell
mass density = 6.9 g/cm3

[6]
Entry from the Alexandria database: a relaxed LaBe6Au12 crystal (PBE-GGA).

Structure (CIF):
```
data_LaBe6Au12
_chemical_formula_sum 'La3 Be18 Au36'
_space_group_name_H-M_alt 'R -3 m'
_space_group_IT_number 166
_space_group_name_Hall '-R 3 2"'
_cell_length_a 11.2117
_cell_length_b 11.2117
_cell_length_c 8.6009
_cell_angle_alpha 90.00
_cell_angle_beta 90.00
_cell_angle_gamma 120.00
loop_
_atom_site_label
_atom_site_type_symbol
_atom_site_fract_x
_atom_site_fract_y
_atom_site_fract_z
La1 La 0.0000 0.0000 0.0000
Be1 Be 0.0409 0.5205 0.2802
Au1 Au 0.0000 0.3736 0.5000
Au2 Au 0.0870 0.1740 0.3500
```

## Properties
DOS at the Fermi energy = 7.64 states/eV/f.u.
spin magnetization = 0.00 μB/atom
mass density = 13.6 g/cm3
ΔE_f = -204 meV/atom

[7]
Entry from the Alexandria database: a relaxed LiLa2BeO crystal (PBE-GGA).

Structure (CIF):
```
data_LiLa2BeO
_chemical_formula_sum 'Li1 La2 Be1 O1'
_space_group_name_H-M_alt 'P 4/m m m'
_space_group_IT_number 123
_space_group_name_Hall '-P 4 2'
_cell_length_a 5.0455
_cell_length_b 5.0455
_cell_length_c 3.9735
_cell_angle_alpha 90.00
_cell_angle_beta 90.00
_cell_angle_gamma 90.00
loop_
_atom_site_label
_atom_site_type_symbol
_atom_site_fract_x
_atom_site_fract_y
_atom_site_fract_z
Li1 Li 0.0000 0.0000 0.0000
La1 La 0.0000 0.5000 0.5000
Be1 Be 0.5000 0.5000 0.0000
O1 O 0.0000 0.0000 0.5000
```

## Properties
DOS at the Fermi energy = 3.33 states/eV/f.u.
spin magnetization = 0.00 μB/atom
calculated total energy = -25.51 eV/cell
mass density = 5.1 g/cm3

[8]
Entry from the Alexandria database: a relaxed CoHgPb2 crystal (PBE-GGA).

Structure (CIF):
```
data_CoHgPb2
_chemical_formula_sum 'Co2 Hg2 Pb4'
_space_group_name_H-M_alt 'I m m m'
_space_group_IT_number 71
_space_group_name_Hall '-I 2 2'
_cell_length_a 3.1859
_cell_length_b 4.5157
_cell_length_c 13.4941
_cell_angle_alpha 90.00
_cell_angle_beta 90.00
_cell_angle_gamma 90.00
loop_
_atom_site_label
_atom_site_type_symbol
_atom_site_fract_x
_atom_site_fract_y
_atom_site_fract_z
Co1 Co 0.0000 0.0000 0.0000
Hg1 Hg 0.0000 0.0000 0.5000
Pb1 Pb 0.0000 0.5000 0.3308
```

## Properties
DOS at the Fermi energy = 2.95 states/eV/f.u.
spin magnetization = 0.20 μB/atom
mass density = 11.5 g/cm3
ΔE_f = 277 meV/atom

[9]
Entry from the Alexandria database: a relaxed HfThPa4 crystal (PBE-GGA).

Structure (CIF):
```
data_HfThPa4
_chemical_formula_sum 'Hf4 Th4 Pa16'
_space_group_name_H-M_alt 'F -4 3 m'
_space_group_IT_number 216
_space_group_name_Hall 'F -4 2 3'
_cell_length_a 8.5337
_cell_length_b 8.5337
_cell_length_c 8.5337
_cell_angle_alpha 90.00
_cell_angle_beta 90.00
_cell_angle_gamma 90.00
loop_
_atom_site_label
_atom_site_type_symbol
_atom_site_fract_x
_atom_site_fract_y
_atom_site_fract_z
Hf1 Hf 0.0000 0.0000 0.0000
Th1 Th 0.2500 0.2500 0.7500
Pa1 Pa 0.1252 0.1252 0.3748
```

## Properties
DOS at the Fermi energy = 14.28 states/eV/f.u.
spin magnetization = 0.00 μB/atom
mass density = 14.3 g/cm3
ΔE_f = 216 meV/atom

[10]
Entry from the Alexandria database: a relaxed PrAlAu4 crystal (PBE-GGA).

Structure (CIF):
```
data_PrAlAu4
_chemical_formula_sum 'Pr4 Al4 Au16'
_space_group_name_H-M_alt 'C 1 2/m 1'
_space_group_IT_number 12
_cell_length_a 10.9516
_cell_length_b 6.2607
_cell_length_c 7.6941
_cell_angle_alpha 90.00
_cell_angle_beta 108.59
_cell_angle_gamma 90.00
loop_
_space_group_symop_operation_xyz
'x,y,z'
'-x,-y,-z'
'-x,y,-z'
'x,-y,z'
'x+1/2,y+1/2,z'
'-x+1/2,-y+1/2,-z'
'-x+1/2,y+1/2,-z'
'x+1/2,-y+1/2,z'
loop_
_atom_site_label
_atom_site_type_symbol
_atom_site_fract_x
_atom_site_fract_y
_atom_site_fract_z
Pr1 Pr 0.2089 0.0000 0.3114
Al1 Al 0.0597 0.5000 0.2555
Au1 Au 0.0000 0.2581 0.5000
Au2 Au 0.1103 0.2475 0.9388
Au3 Au 0.2113 0.0000 0.7121
```

## Properties
DOS at the Fermi energy = 2.60 states/eV/f.u.
spin magnetization = 0.00 μB/atom
mass density = 12.7 g/cm3
ΔE_f = -539 meV/atom

[11]
Entry from the Alexandria database: a relaxed NdPuSnPt crystal (PBE-GGA).

Structure (CIF):
```
data_NdPuSnPt
_chemical_formula_sum 'Nd4 Pu4 Sn4 Pt4'
_space_group_name_H-M_alt 'F -4 3 m'
_space_group_IT_number 216
_space_group_name_Hall 'F -4 2 3'
_cell_length_a 7.4275
_cell_length_b 7.4275
_cell_length_c 7.4275
_cell_angle_alpha 90.00
_cell_angle_beta 90.00
_cell_angle_gamma 90.00
loop_
_atom_site_label
_atom_site_type_symbol
_atom_site_fract_x
_atom_site_fract_y
_atom_site_fract_z
Nd1 Nd 0.0000 0.0000 0.0000
Pu1 Pu 0.0000 0.0000 0.5000
Sn1 Sn 0.2500 0.2500 0.7500
Pt1 Pt 0.2500 0.2500 0.2500
```

## Properties
DOS at the Fermi energy = 12.07 states/eV/f.u.
spin magnetization = 1.32 μB/atom
mass density = 11.4 g/cm3
ΔE_f = -559 meV/atom